# NaCrBr3, relaxed, DFT GGA-PBE
# - size of the total moment (μB per formula unit) = 0.000
# - crystal system = monoclinic
data_NaCrBr3
_cell_length_a 7.470
_cell_length_b 8.220
_cell_length_c 11.860
_cell_angle_alpha 90.00
_cell_angle_beta 110.19
_cell_angle_gamma 90.00
_symmetry_space_group_name_H-M 'P 1 21/c 1'
_symmetry_Int_Tables_number 14
loop_
_symmetry_equiv_pos_as_xyz
'x,y,z'
'-x,-y,-z'
'-x,y+1/2,-z+1/2'
'x,-y+1/2,z+1/2'
loop_
_atom_site_label
_atom_site_fract_x
_atom_site_fract_y
_atom_site_fract_z
Na1 0.223 0.248 0.220
Cr1 0.469 0.584 0.948
Br1 0.145 0.576 0.807
Br2 0.306 0.196 0.988
Br3 0.379 0.576 0.168

---

# NaCrBr3, relaxed, DFT GGA-PBE
# - size of the total moment (μB per formula unit) = 4.000
# - crystal system = cubic
data_NaCrBr3
_cell_length_a 5.368
_cell_length_b 5.368
_cell_length_c 5.368
_cell_angle_alpha 90.00
_cell_angle_beta 90.00
_cell_angle_gamma 90.00
_symmetry_space_group_name_H-M 'P m -3 m'
_symmetry_Int_Tables_number 221
_symmetry_space_group_name_Hall '-P 4 2 3'
loop_
_atom_site_label
_atom_site_fract_x
_atom_site_fract_y
_atom_site_fract_z
Na1 0.000 0.000 0.000
Cr1 0.500 0.500 0.500
Br1 0.000 0.000 0.500

---

# Na2CrPbBr6, relaxed, DFT GGA-PBE
# - size of the total moment (μB per formula unit) = 4.000
# - crystal system = trigonal
data_Na2CrPbBr6
_cell_length_a 7.3544
_cell_length_b 7.3544
_cell_length_c 19.7744
_cell_angle_alpha 90.00
_cell_angle_beta 90.00
_cell_angle_gamma 120.00
_symmetry_space_group_name_H-M 'R 3'
_symmetry_Int_Tables_number 146
_symmetry_space_group_name_Hall 'R 3'
loop_
_atom_site_label
_atom_site_fract_x
_atom_site_fract_y
_atom_site_fract_z
Na1 0.0000 0.0000 0.0000
Na2 0.0000 0.0000 0.4915
Cr1 0.0000 0.0000 0.8027
Pb1 0.0000 0.0000 0.2973
Br1 0.0099 0.7172 0.8857
Br2 0.0436 0.3486 0.3960

---

# Rb3NaCr2Br9, relaxed, DFT GGA-PBE
# - size of the total moment (μB per formula unit) = 7.000
# - crystal system = trigonal
data_Rb3NaCr2Br9
_cell_length_a 7.6050
_cell_length_b 7.6050
_cell_length_c 9.4430
_cell_angle_alpha 90.00
_cell_angle_beta 90.00
_cell_angle_gamma 120.00
_symmetry_space_group_name_H-M 'P -3 m 1'
_symmetry_Int_Tables_number 164
_symmetry_space_group_name_Hall '-P 3 2"'
loop_
_atom_site_label
_atom_site_fract_x
_atom_site_fract_y
_atom_site_fract_z
Rb1 0.0000 0.0000 0.0000
Rb2 0.3333 0.6667 0.6646
Na1 0.0000 0.0000 0.5000
Cr1 0.3333 0.6667 0.1633
Br1 0.0000 0.5000 0.0000
Br2 0.1748 0.3495 0.3141

---

# RbNa2CrBr6, relaxed, DFT GGA-PBE
# - size of the total moment (μB per formula unit) = 3.000
# - crystal system = trigonal
data_RbNa2CrBr6
_cell_length_a 7.4575
_cell_length_b 7.4575
_cell_length_c 20.2851
_cell_angle_alpha 90.00
_cell_angle_beta 90.00
_cell_angle_gamma 120.00
_symmetry_space_group_name_H-M 'R 3'
_symmetry_Int_Tables_number 146
_symmetry_space_group_name_Hall 'R 3'
loop_
_atom_site_label
_atom_site_fract_x
_atom_site_fract_y
_atom_site_fract_z
Rb1 0.0000 0.0000 0.0000
Na1 0.0000 0.0000 0.2863
Na2 0.0000 0.0000 0.8070
Cr1 0.0000 0.0000 0.4793
Br1 0.0433 0.7541 0.4033
Br2 0.0504 0.3798 0.2168

---

# Rb3Na3CrBr8, relaxed, DFT GGA-PBE
# - size of the total moment (μB per formula unit) = 4.000
# - crystal system = monoclinic
data_Rb3Na3CrBr8
_cell_length_a 15.280
_cell_length_b 8.811
_cell_length_c 9.363
_cell_angle_alpha 90.00
_cell_angle_beta 122.98
_cell_angle_gamma 90.00
_symmetry_space_group_name_H-M 'C 1 2/m 1'
_symmetry_Int_Tables_number 12
loop_
_symmetry_equiv_pos_as_xyz
'x,y,z'
'-x,-y,-z'
'-x,y,-z'
'x,-y,z'
'x+1/2,y+1/2,z'
'-x+1/2,-y+1/2,-z'
'-x+1/2,y+1/2,-z'
'x+1/2,-y+1/2,z'
loop_
_atom_site_label
_atom_site_fract_x
_atom_site_fract_y
_atom_site_fract_z
Rb1 0.000 0.000 0.000
Rb2 0.250 0.250 0.000
Na1 0.000 0.500 0.500
Na2 0.250 0.250 0.500
Cr1 0.000 0.000 0.500
Br1 0.011 0.224 0.308
Br2 0.213 0.000 0.692
Br3 0.237 0.500 0.710

---

Computed formation energy (no corrections) (eV per atom) in order:
-0.850, -0.098, -1.046, -1.224, -1.241, -1.415